1.
This record from Alexandria via LeMat-Bulk describes a relaxed structure of SrP3Pd. The functional is GGA-PBE.

Properties
Raw total energy: -14.9 eV for the cell shown
E above lowest polymorph: 8.00 eV/f.u.

a b c (Å): 5.3811 5.3811 5.3811
angles (deg): 90.00 90.00 90.00
Last column: nearest neighbours and their distance in Å.
Fractional positions:
P 0.0000 0.0000 0.5000  2 Sr 2.69
Pd 0.5000 0.5000 0.5000  12 P 3.81
P 0.5000 0.0000 0.0000  2 Sr 2.69
Sr 0.0000 0.0000 0.0000  6 P 2.69
P 0.0000 0.5000 0.0000  2 Sr 2.69

2.
This record from Alexandria via LeMat-Bulk describes a relaxed structure of Sr2P2Pd5. The functional is GGA-PBE.

Properties
Raw total energy: -46.6 eV for the cell shown

a b c (Å): 4.5061 4.5061 8.8103
angles (deg): 90.00 90.00 90.00
Last column: nearest neighbours and their distance in Å.
Fractional positions:
Pd 0.5000 0.0000 0.2702  2 P 2.35
Pd 0.0000 0.5000 0.7298  2 P 2.35
Sr 0.0000 0.0000 0.5000  12 Pd 3.03-3.19
P 0.5000 0.5000 0.8065  4 Pd 2.35
Pd 0.5000 0.5000 0.5000  2 P 2.70
P 0.5000 0.5000 0.1935  4 Pd 2.35
Pd 0.0000 0.5000 0.2702  2 P 2.35
Pd 0.5000 0.0000 0.7298  2 P 2.35
Sr 0.0000 0.0000 0.0000  8 Pd 3.28, 8 P 3.61

3.
This record from Alexandria via LeMat-Bulk describes a relaxed structure of SrPPd3. The functional is GGA-PBE.

Properties
Raw total energy: -51.0 eV for the cell shown
E above lowest polymorph: 1.12 eV/f.u.

a b c (Å): 5.4870 7.4466 6.2109
angles (deg): 90.00 56.47 90.00
Last column: nearest neighbours and their distance in Å.
Fractional positions:
Sr 0.2144 0.7500 0.7040  8 Pd 3.09-3.38, 2 P 3.25-3.32
Pd 0.6998 0.9538 0.7461  2 P 2.37
P 0.5532 0.2500 0.9034  5 Pd 2.31-2.37
Pd 0.9434 0.7500 0.3043  1 P 2.31
Pd 0.3002 0.4538 0.2539  2 P 2.37
Sr 0.7856 0.2500 0.2960  8 Pd 3.09-3.38, 2 P 3.25-3.32
Pd 0.6998 0.5462 0.7461  2 P 2.37
Pd 0.3002 0.0461 0.2539  2 P 2.37
P 0.4468 0.7500 0.0966  5 Pd 2.31-2.37
Pd 0.0566 0.2500 0.6957  1 P 2.31

4.
This record from Alexandria via LeMat-Bulk describes a relaxed structure of Sr3P2Pd. The functional is GGA-PBE.

Properties
Raw total energy: -107.7 eV for the cell shown

a b c (Å): 4.4264 12.1107 11.9804
angles (deg): 90.00 90.00 90.00
Last column: nearest neighbours and their distance in Å.
Fractional positions:
Sr 0.7500 0.9473 0.1199  5 P 3.12-3.25, 3 Pd 3.12-3.17
P 0.2500 0.0128 0.3065  1 Pd 2.61
Sr 0.7500 0.6235 0.9424  1 Pd 3.04, 5 P 3.21-3.29
Pd 0.2500 0.1347 0.1268  3 P 2.61
P 0.2500 0.4872 0.8065  1 Pd 2.61
Pd 0.2500 0.3653 0.6268  3 P 2.61
Sr 0.2500 0.3765 0.0576  1 Pd 3.04, 5 P 3.21-3.29
P 0.7500 0.9872 0.6935  1 Pd 2.61
Sr 0.7500 0.1908 0.2918  2 Pd 3.04, 4 P 3.09-3.20
P 0.7500 0.5128 0.1935  1 Pd 2.61
Pd 0.7500 0.6347 0.3732  3 P 2.61
Sr 0.2500 0.1235 0.5576  1 Pd 3.04, 5 P 3.21-3.29
P 0.7500 0.1869 0.0249  2 Pd 2.61
Sr 0.7500 0.8765 0.4424  1 Pd 3.04, 5 P 3.21-3.29
Sr 0.2500 0.8092 0.7082  2 Pd 3.04, 4 P 3.09-3.20
Sr 0.2500 0.4473 0.3801  5 P 3.12-3.25, 3 Pd 3.12-3.17
Sr 0.2500 0.6908 0.2082  2 Pd 3.04, 4 P 3.09-3.20
Pd 0.7500 0.8653 0.8732  3 P 2.61
Sr 0.2500 0.0527 0.8801  5 P 3.12-3.25, 3 Pd 3.12-3.17
P 0.2500 0.8131 0.9751  2 Pd 2.61
Sr 0.7500 0.3092 0.7918  2 Pd 3.04, 4 P 3.09-3.20
Sr 0.7500 0.5527 0.6199  5 P 3.12-3.25, 3 Pd 3.12-3.17
P 0.2500 0.6869 0.4751  2 Pd 2.61
P 0.7500 0.3131 0.5249  2 Pd 2.61

5.
This record from Alexandria via LeMat-Bulk describes a relaxed structure of SrPPd3. The functional is GGA-PBE.

Properties
Raw total energy: -50.2 eV for the cell shown
E above lowest polymorph: 1.52 eV/f.u.

a b c (Å): 8.9228 8.9228 5.1622
angles (deg): 90.00 90.00 145.57
Last column: nearest neighbours and their distance in Å.
Fractional positions:
Pd 0.9604 0.5268 0.2500  1 P 2.24
Pd 0.0000 0.0000 0.0000  2 P 2.31, 2 Pd 2.58
P 0.1121 0.8879 0.2500  4 Pd 2.24-2.31
Sr 0.3893 0.6107 0.2500  10 Pd 3.24-3.49
Pd 0.4732 0.0396 0.2500  1 P 2.24
P 0.8879 0.1121 0.7500  4 Pd 2.24-2.31
Pd 0.0000 0.0000 0.5000  2 P 2.31, 2 Pd 2.58
Sr 0.6107 0.3893 0.7500  10 Pd 3.24-3.49
Pd 0.5268 0.9604 0.7500  1 P 2.24
Pd 0.0396 0.4732 0.7500  1 P 2.24

6.
This record from Alexandria via LeMat-Bulk describes a relaxed structure of SrP4Pd12. The functional is GGA-PBE.

Properties
Raw total energy: -93.0 eV for the cell shown

a b c (Å): 7.2745 7.2745 7.2745
angles (deg): 109.47 109.47 109.47
Last column: nearest neighbours and their distance in Å.
Fractional positions:
Pd 0.1775 0.6616 0.8390  2 P 2.31
Pd 0.1775 0.3384 0.5159  2 P 2.31
Pd 0.8225 0.6616 0.4841  2 P 2.31
P 0.0000 0.0000 0.5000  6 Pd 2.31
Pd 0.4841 0.8225 0.6616  2 P 2.31
Pd 0.3384 0.5159 0.1775  2 P 2.31
Pd 0.8225 0.3384 0.1610  2 P 2.31
Pd 0.6616 0.4841 0.8225  2 P 2.31
P 0.0000 0.5000 0.0000  6 Pd 2.31
P 0.5000 0.5000 0.5000  6 Pd 2.31
Pd 0.1610 0.8225 0.3384  2 P 2.31
Pd 0.6616 0.8390 0.1775  2 P 2.31
Sr 0.0000 0.0000 0.0000  12 Pd 3.21
Pd 0.8390 0.1775 0.6616  2 P 2.31
Pd 0.5159 0.1775 0.3384  2 P 2.31
Pd 0.3384 0.1610 0.8225  2 P 2.31
P 0.5000 0.0000 0.0000  6 Pd 2.31

7.
This record from Alexandria via LeMat-Bulk describes a relaxed structure of SrP3Pd10. The functional is GGA-PBE.

Properties
Raw total energy: -155.4 eV for the cell shown

a b c (Å): 8.6743 8.6743 8.6743
angles (deg): 60.00 60.00 60.00
Last column: nearest neighbours and their distance in Å.
Fractional positions:
Pd 0.6125 0.1625 0.6125  3 P 2.50, 3 Pd 2.76
Pd 0.3875 0.3875 0.8375  3 P 2.50, 3 Pd 2.76
Pd 0.3875 0.8375 0.3875  3 P 2.50, 3 Pd 2.76
Pd 0.3435 0.0000 0.6565  2 P 2.37
Pd 0.3875 0.3875 0.3875  3 P 2.50, 3 Pd 2.76
Pd 0.0000 0.3435 0.0000  2 P 2.37
Sr 0.2500 0.2500 0.2500  4 Pd 2.92
Pd 0.8375 0.3875 0.3875  3 P 2.50, 3 Pd 2.76
Pd 0.0000 0.3435 0.6565  2 P 2.37
Pd 0.6565 0.3435 0.0000  2 P 2.37
P 0.2601 0.7399 0.2601  8 Pd 2.37-2.50
Pd 0.0000 0.6565 0.0000  2 P 2.37
Pd 0.0000 0.0000 0.6565  2 P 2.37
Pd 0.6565 0.0000 0.3435  2 P 2.37
P 0.2601 0.2601 0.7399  8 Pd 2.37-2.50
P 0.2601 0.7399 0.7399  8 Pd 2.37-2.50
P 0.7399 0.2601 0.7399  8 Pd 2.37-2.50
Pd 0.0000 0.0000 0.3435  2 P 2.37
P 0.7399 0.7399 0.2601  8 Pd 2.37-2.50
Pd 0.1625 0.6125 0.6125  3 P 2.50, 3 Pd 2.76
Pd 0.6125 0.6125 0.6125  3 P 2.50, 3 Pd 2.76
Pd 0.3435 0.6565 0.0000  2 P 2.37
Sr 0.7500 0.7500 0.7500  4 Pd 2.92
Pd 0.3435 0.0000 0.0000  2 P 2.37
Pd 0.0000 0.6565 0.3435  2 P 2.37
P 0.7399 0.2601 0.2601  8 Pd 2.37-2.50
Pd 0.6565 0.0000 0.0000  2 P 2.37
Pd 0.6125 0.6125 0.1625  3 P 2.50, 3 Pd 2.76

8.
This record from Alexandria via LeMat-Bulk describes a relaxed structure of SrPPd3. The functional is GGA-PBE.

Properties
Raw total energy: -53.2 eV for the cell shown
E above lowest polymorph: 0.00 eV/f.u.

a b c (Å): 4.4578 6.6047 6.6050
angles (deg): 84.73 90.40 90.39
Last column: nearest neighbours and their distance in Å.
Fractional positions:
Pd 0.0332 0.7502 0.9147  2 P 2.37-2.38
P 0.5308 0.1447 0.3609  6 Pd 2.32-2.56
Pd 0.5981 0.4737 0.1963  2 P 2.36
Sr 0.0519 0.2334 0.9557  12 Pd 3.11-3.45, 2 P 3.42
P 0.5308 0.6384 0.8673  6 Pd 2.32-2.56
Pd 0.0333 0.1924 0.4725  2 P 2.37-2.38
Pd 0.5437 0.4035 0.6274  2 P 2.32-2.56
Sr 0.0586 0.7129 0.4353  11 Pd 3.09-3.43
Pd 0.5436 0.9048 0.1259  2 P 2.32-2.56
Pd 0.5257 0.9725 0.6950  2 P 2.39

| no. | formation enthalpy at 0 K (eV per atom) |
| --- | --- |
| 1 | 1.632 |
| 2 | -0.715 |
| 3 | -0.565 |
| 4 | -0.977 |
| 5 | -0.485 |
| 6 | -0.435 |
| 7 | -0.563 |
| 8 | -0.789 |